The following is a meta-GGA SCAN calculation of YBeW2 at its PBEsol-relaxed geometry, from the Alexandria database.

Cell: 2.658 4.670 10.545 Å, 90.00 90.00 90.00°
Space group Immm (No. 71)
Unique sites:
1 Y 0.000 0.000 0.000 [2 per cell]
2 Be 0.000 0.000 0.500 [2 per cell]
3 W 0.000 0.500 0.200 [4 per cell]

Properties
crystal system = orthorhombic
total moment = 0.00 μB/f.u.
DFT formation energy = 0.5052 eV/atom